Entry 1:
A geometry-optimized AcPtPb2O8 structure. Source: Alexandria via LeMat-Bulk, functional PBE-GGA.

Cell and atoms, written as POSCAR:
```
AcPtPb2O8
1.0
4.885 0.000 0.000
0.000 7.039 0.000
-0.092 0.000 5.129
Ac Pt Pb O
1 1 2 8
Direct
0.000 0.000 0.000 Ac
0.000 0.500 0.000 Pt
0.500 0.260 0.500 Pb
0.500 0.740 0.500 Pb
0.139 0.292 0.233 O
0.139 0.708 0.233 O
0.331 0.500 0.763 O
0.411 0.000 0.735 O
0.589 0.000 0.265 O
0.669 0.500 0.237 O
0.861 0.292 0.767 O
0.861 0.708 0.767 O
```

Total magnetization, μB/atom: 0.000
Space group: P2/m (10)
VASP energy, eV for the cell shown: -71.05

---

Entry 2:
A geometry-optimized NaAcZnSn structure. Source: Alexandria via LeMat-Bulk, functional PBE-GGA.

Cell and atoms, written as POSCAR:
```
NaAcZnSn
1.0
0.000 3.888 3.888
3.888 0.000 3.888
3.888 3.888 0.000
Na Ac Zn Sn
1 1 1 1
Direct
0.000 0.000 0.000 Na
0.500 0.500 0.500 Ac
0.250 0.250 0.250 Zn
0.750 0.750 0.750 Sn
```

Total magnetization, μB/atom: 0.000
Space group: F-43m (216)
ΔH_f (0 K), eV per atom: -0.327

---

Entry 3:
A geometry-optimized PbBr2 structure. Source: Alexandria via LeMat-Bulk, functional PBE-GGA.

Cell and atoms, written as POSCAR:
```
PbBr2
1.0
1.993 -13.172 0.000
1.993 13.172 0.000
0.000 0.000 4.538
Pb Br
2 4
Direct
0.111 0.889 0.750 Pb
0.889 0.111 0.250 Pb
0.310 0.690 0.250 Br
0.432 0.568 0.750 Br
0.568 0.432 0.250 Br
0.690 0.310 0.750 Br
```

Total magnetization, μB/atom: 0.000
Space group: Cmcm (63)
VASP energy, eV for the cell shown: -19.07

---

Entry 4:
A geometry-optimized DyTmTc4 structure. Source: Alexandria via LeMat-Bulk, functional PBE-GGA.

Cell and atoms, written as POSCAR:
```
DyTmTc4
1.0
0.000 3.809 3.809
3.809 0.000 3.809
3.809 3.809 0.000
Dy Tm Tc
1 1 4
Direct
0.000 0.000 0.000 Dy
0.250 0.250 0.250 Tm
0.125 0.625 0.625 Tc
0.625 0.125 0.625 Tc
0.625 0.625 0.125 Tc
0.625 0.625 0.625 Tc
```

Total magnetization, μB/atom: 0.001
Space group: F-43m (216)
ΔH_f (0 K), eV per atom: -0.172

---

Entry 5:
A geometry-optimized CsRbTe2 structure. Source: Alexandria via LeMat-Bulk, functional PBE-GGA.

Cell and atoms, written as POSCAR:
```
CsRbTe2
1.0
5.755 0.000 0.000
0.000 4.434 5.558
0.000 -4.434 5.558
Cs Rb Te
1 1 2
Direct
0.000 0.000 0.000 Cs
0.500 0.466 0.466 Rb
0.000 0.148 0.465 Te
0.000 0.465 0.148 Te
```

Total magnetization, μB/atom: 0.000
Space group: Amm2 (38)
Energy above the most stable polymorph in this dataset, kcal/mol of atoms: 3.66

---

Entry 6:
A geometry-optimized YTm2F8 structure. Source: Alexandria via LeMat-Bulk, functional PBE-GGA.

Cell and atoms, written as POSCAR:
```
YTm2F8
1.0
3.406 -5.083 0.000
3.406 5.083 0.000
-0.813 0.000 4.087
Y Tm F
1 2 8
Direct
0.000 0.000 0.000 Y
0.320 0.680 0.500 Tm
0.680 0.320 0.500 Tm
0.056 0.334 0.604 F
0.242 0.758 0.000 F
0.334 0.056 0.604 F
0.373 0.373 0.214 F
0.627 0.627 0.786 F
0.666 0.944 0.396 F
0.758 0.242 0.000 F
0.944 0.666 0.396 F
```

Total magnetization, μB/atom: 0.090
Space group: C2/m (12)
VASP energy, eV for the cell shown: -72.51

---

Entry 7:
A geometry-optimized AcSm12Tm5 structure. Source: Alexandria via LeMat-Bulk, functional PBE-GGA.

Cell and atoms, written as POSCAR:
```
AcSm12Tm5
1.0
7.651 -7.669 0.000
7.651 7.669 0.000
0.000 0.000 5.098
Ac Sm Tm
1 12 5
Direct
0.000 0.000 0.000 Ac
0.001 0.663 0.000 Sm
0.170 0.502 0.500 Sm
0.171 0.171 0.500 Sm
0.336 0.336 0.000 Sm
0.337 0.999 0.000 Sm
0.498 0.830 0.500 Sm
0.502 0.170 0.500 Sm
0.663 0.001 0.000 Sm
0.664 0.664 0.000 Sm
0.829 0.829 0.500 Sm
0.830 0.498 0.500 Sm
0.999 0.337 0.000 Sm
0.171 0.829 0.500 Tm
0.333 0.667 0.000 Tm
0.500 0.500 0.500 Tm
0.667 0.333 0.000 Tm
0.829 0.171 0.500 Tm
```

Total magnetization, μB/atom: 0.000
Space group: Cmmm (65)
ΔH_f (0 K), eV per atom: 0.030

---

Entry 8:
A geometry-optimized DyEr2Pu3Te6 structure. Source: Alexandria via LeMat-Bulk, functional PBE-GGA.

Cell and atoms, written as POSCAR:
```
DyEr2Pu3Te6
1.0
9.591 -2.176 0.000
9.591 2.176 0.000
-2.183 0.000 8.536
Dy Er Pu Te
1 2 3 6
Direct
0.000 0.000 0.000 Dy
0.334 0.334 0.668 Er
0.666 0.666 0.332 Er
0.000 0.000 0.500 Pu
0.334 0.334 0.167 Pu
0.666 0.666 0.833 Pu
0.166 0.166 0.088 Te
0.169 0.169 0.578 Te
0.498 0.498 0.752 Te
0.502 0.502 0.248 Te
0.831 0.831 0.422 Te
0.834 0.834 0.912 Te
```

Total magnetization, μB/atom: 1.503
Space group: C2/m (12)
VASP energy, eV for the cell shown: -89.90

---

Repeat the eighth record exactly.
A geometry-optimized DyEr2Pu3Te6 structure. Source: Alexandria via LeMat-Bulk, functional PBE-GGA.

Cell and atoms, written as POSCAR:
```
DyEr2Pu3Te6
1.0
9.591 -2.176 0.000
9.591 2.176 0.000
-2.183 0.000 8.536
Dy Er Pu Te
1 2 3 6
Direct
0.000 0.000 0.000 Dy
0.334 0.334 0.668 Er
0.666 0.666 0.332 Er
0.000 0.000 0.500 Pu
0.334 0.334 0.167 Pu
0.666 0.666 0.833 Pu
0.166 0.166 0.088 Te
0.169 0.169 0.578 Te
0.498 0.498 0.752 Te
0.502 0.502 0.248 Te
0.831 0.831 0.422 Te
0.834 0.834 0.912 Te
```

Total magnetization, μB/atom: 1.503
Space group: C2/m (12)
VASP energy, eV for the cell shown: -89.90